(1)
DFT (PBE-GGA) results for a relaxed TiPd8Au2 crystal.

Cell lengths 7.3588, 7.3588, 5.2680 Å; angles 110.84, 110.84, 117.29 degrees
Fractional coordinates of all 11 atoms:
Ti 0.0000 0.0000 0.0000
Pd 0.1015 0.3171 0.5909
Pd 0.2153 0.7847 0.0000
Pd 0.3171 0.1015 0.5909
Pd 0.3792 0.3792 0.1575
Pd 0.6208 0.6208 0.8425
Pd 0.6829 0.8985 0.4091
Pd 0.7847 0.2153 0.0000
Pd 0.8985 0.6829 0.4091
Au 0.3052 0.6948 0.5000
Au 0.6948 0.3052 0.5000

The calculation puts the mass density at 11.60 g/cm³. Its magnetic moment is 0.0 μB per cell.

(2)
DFT (PBE-GGA) results for a relaxed TiPd8Au2 crystal.

Cell lengths 6.7134, 6.7134, 4.2865 Å; angles 90.00, 90.00, 105.77 degrees
Fractional coordinates of all 11 atoms:
Ti 0.0000 0.0000 0.0000
Pd 0.0372 0.2955 0.5000
Pd 0.2316 0.7684 0.0000
Pd 0.2955 0.0372 0.5000
Pd 0.3214 0.3214 0.0000
Pd 0.6786 0.6786 0.0000
Pd 0.7045 0.9628 0.5000
Pd 0.7684 0.2316 0.0000
Pd 0.9628 0.7045 0.5000
Au 0.3745 0.6255 0.5000
Au 0.6255 0.3745 0.5000

The calculation puts the mass density at 11.55 g/cm³. Its magnetic moment is 0.0 μB per cell.

Of them, the most stable is (2) and the least stable is (1).